Record 1
Cu2Ag3 | PBE-GGA | relaxed

Cell: 11.827 2.847 9.338 Å, 90.00 99.91 90.00°
Space group Cm (No. 8)
Asymmetric unit:
1 Cu 0.000 0.000 0.000
2 Cu 0.009 0.500 0.500
3 Cu 0.320 0.000 0.905
4 Cu 0.410 0.000 0.179
5 Ag 0.096 0.000 0.294
6 Ag 0.114 0.500 0.808
7 Ag 0.204 0.000 0.592
8 Ag 0.212 0.500 0.094
9 Ag 0.322 0.500 0.388
10 Ag 0.410 0.500 0.701

**DFT total energy**: -3.10 eV/atom
**ΔE_f**: 1.9 kcal/mol of atoms


Record 2
ScIr2Pd | PBE-GGA | relaxed

Cell: 6.353 6.353 6.353 Å, 90.00 90.00 90.00°
Space group F-43m (No. 216)
Asymmetric unit:
1 Sc 0.000 0.000 0.000
2 Ir 0.000 0.000 0.500
3 Ir 0.250 0.250 0.750
4 Pd 0.250 0.250 0.250

**DFT total energy**: -7.60 eV/atom
**ΔE_f**: -6.8 kcal/mol of atoms
**Spin magnetization**: 3.69 μB per cell